DFT (GGA-PBE) results for a geometry-optimized Hf2Zr2Ni structure.

Unit cell a=3.891 b=3.891 c=14.643 alpha=90.00 beta=90.00 gamma=90.00
Space group I4/mmm (No. 139)
Symmetry-distinct sites (fractional):
Hf  0.000  0.500  0.250 x4
Zr  0.000  0.000  0.090 x4
Ni  0.000  0.000  0.500 x2

Output
Magnetization   0.02 μB per cell
Raw total energy   -7.830 eV per atom
Formation energy   0.685 eV per atom



DFT (GGA-PBE) results for a geometry-optimized ZrC8 structure.

Unit cell a=5.0111 b=5.0111 c=4.0246 alpha=90.00 beta=90.00 gamma=120.00
Space group P6/mmm (No. 191)
Symmetry-distinct sites (fractional):
Zr  0.0000  0.0000  0.0000 x1
C  0.1683  0.3366  0.5000 x6
C  0.3333  0.6667  0.5000 x2

Output
Magnetization   0.02 μB per cell
Raw total energy   -8.955 eV per atom



DFT (GGA-PBE) results for a geometry-optimized LaBeGeIr structure.

Unit cell a=6.704 b=6.704 c=6.704 alpha=90.00 beta=90.00 gamma=90.00
Space group F-43m (No. 216)
Symmetry-distinct sites (fractional):
La  0.000  0.000  0.000 x4
Be  0.000  0.000  0.500 x4
Ge  0.250  0.250  0.750 x4
Ir  0.250  0.250  0.250 x4

Output
Magnetization   0.01 μB per cell
Raw total energy   -5.492 eV per atom



DFT (GGA-PBE) results for a geometry-optimized HoPaGe structure.

Unit cell a=7.048 b=7.048 c=7.048 alpha=90.00 beta=90.00 gamma=90.00
Space group F-43m (No. 216)
Symmetry-distinct sites (fractional):
Ho  0.000  0.000  0.000 x4
Pa  0.250  0.250  0.750 x4
Ge  0.000  0.000  0.500 x4

Output
Magnetization   12.20 μB per cell
Raw total energy   -5.512 eV per atom